Entry 1:
A plane-wave DFT calculation with PBE was carried out for a relaxed structure of YCrW2.

Calculated values
uncorrected energy = -147.08 eV per cell
DOS(E_F) = 17.2 states/eV per cell
total magnetic moment = 0.09 μB/f.u.
energy relative to the lowest polymorph listed for this composition = 0.9077 eV per atom

Cell: 4.8444 4.8444 16.4892 Å, 90.00 90.00 90.00°
Space group I-42d (No. 122)
Inequivalent atoms, fractional coordinates:
Y 0.0000 0.0000 0.0000 (multiplicity 4)
Cr 0.0000 0.0000 0.5000 (multiplicity 4)
W 0.0172 0.2500 0.6250 (multiplicity 8)

=====

Entry 2:
A plane-wave DFT calculation with PBE was carried out for a relaxed structure of Y2CrW.

Calculated values
uncorrected energy = -131.11 eV per cell
DOS(E_F) = 21.8 states/eV per cell
total magnetic moment = 1.76 μB/f.u.
energy relative to the lowest polymorph listed for this composition = 0.3826 eV per atom

Cell: 6.9655 6.9655 6.9655 Å, 90.00 90.00 90.00°
Space group F-43m (No. 216)
Inequivalent atoms, fractional coordinates:
Y 0.0000 0.0000 0.0000 (multiplicity 4)
Y 0.2500 0.2500 0.2500 (multiplicity 4)
Cr 0.0000 0.0000 0.5000 (multiplicity 4)
W 0.2500 0.2500 0.7500 (multiplicity 4)

=====

Entry 3:
A plane-wave DFT calculation with PBE was carried out for a relaxed structure of YCrW2.

Calculated values
uncorrected energy = -80.11 eV per cell
DOS(E_F) = 6.1 states/eV per cell
total magnetic moment = 0.70 μB/f.u.
energy relative to the lowest polymorph listed for this composition = 0.0868 eV per atom

Cell: 3.1366 4.6677 9.5076 Å, 90.00 90.00 90.00°
Space group Immm (No. 71)
Inequivalent atoms, fractional coordinates:
Y 0.0000 0.0000 0.0000 (multiplicity 2)
Cr 0.0000 0.0000 0.5000 (multiplicity 2)
W 0.0000 0.5000 0.2302 (multiplicity 4)

=====

Entry 4:
A plane-wave DFT calculation with PBE was carried out for a relaxed structure of YCrW.

Calculated values
uncorrected energy = -112.53 eV per cell
DOS(E_F) = 14.6 states/eV per cell
total magnetic moment = 0.07 μB/f.u.
energy relative to the lowest polymorph listed for this composition = 0.0256 eV per atom

Cell: 11.0108 3.9732 5.4711 Å, 90.00 90.61 90.00°
Space group Cm (No. 8)
Inequivalent atoms, fractional coordinates:
Y 0.0000 0.0000 0.0000 (multiplicity 2)
Y 0.0680 0.5000 0.5001 (multiplicity 2)
Cr 0.2847 0.0000 0.2592 (multiplicity 2)
Cr 0.3384 0.5000 0.4868 (multiplicity 2)
W 0.2272 0.5000 0.0152 (multiplicity 2)
W 0.2863 0.0000 0.7372 (multiplicity 2)